First-principles (PBE-GGA) data for crystalline AlIn2Br at its relaxed geometry, as listed in Alexandria via LeMat-Bulk.

Summary:
**Raw formation energy**: -65.6 meV/atom
**N(E_F)**: 0.494 states/eV/atom
**SG**: Amm2 (38)
**Raw total energy**: -0.2050 Ry per atom

Lattice parameters (Å, degrees): 6.0429 6.0429 5.2774 90.00 90.00 33.29
Fractional coordinates of all 4 atoms:
In1 0.7581 0.7581 0.6247
Al1 0.4936 0.4936 0.6252
Br1 0.2497 0.2497 0.1249
In2 0.9987 0.9987 0.1252

---

First-principles (PBE-GGA) data for crystalline K2AlInBr at its relaxed geometry, as listed in Alexandria via LeMat-Bulk.

Summary:
**Raw formation energy**: -193.5 meV/atom
**N(E_F)**: 0.468 states/eV/atom
**SG**: P4/mmm (123)
**Raw total energy**: -0.1663 Ry per atom

Lattice parameters (Å, degrees): 6.8566 4.8939 6.8566 90.00 90.00 90.00
Fractional coordinates of all 5 atoms:
Br1 0.5000 0.5000 0.5000
K1 0.0000 0.0000 0.5000
In1 0.0000 0.0000 0.0000
Al1 0.0000 0.5000 0.0000
K2 0.5000 0.0000 0.0000

---

First-principles (PBE-GGA) data for crystalline KAl2InBr8 at its relaxed geometry, as listed in Alexandria via LeMat-Bulk.

Summary:
**Raw formation energy**: -1186.4 meV/atom
**N(E_F)**: 0.000 states/eV/atom
**SG**: R-3 (148)
**Raw total energy**: -0.2385 Ry per atom

Lattice parameters (Å, degrees): 7.1792 7.1792 10.8641 70.71 70.71 60.00
Fractional coordinates of all 12 atoms:
Br1 0.1654 0.1654 0.5039
Br2 0.6780 0.0631 0.8030
Al1 0.7579 0.7579 0.7263
Br3 0.9369 0.5441 0.1970
K1 0.5000 0.5000 0.5000
Al2 0.2421 0.2421 0.2737
Br4 0.0631 0.4559 0.8030
In1 0.0000 0.0000 0.0000
Br5 0.5441 0.3220 0.1970
Br6 0.4559 0.6780 0.8030
Br7 0.8346 0.8346 0.4961
Br8 0.3220 0.9369 0.1970

---

First-principles (PBE-GGA) data for crystalline K2AlInBr6 at its relaxed geometry, as listed in Alexandria via LeMat-Bulk.

Summary:
**Raw formation energy**: -1212.9 meV/atom
**N(E_F)**: 0.000 states/eV/atom
**SG**: Fm-3m (225)
**Raw total energy**: -0.2267 Ry per atom

Lattice parameters (Å, degrees): 7.9560 7.9560 7.9560 60.00 60.00 60.00
Fractional coordinates of all 10 atoms:
K1 0.2500 0.2500 0.2500
Br1 0.2250 0.7750 0.7750
Al1 0.0000 0.0000 0.0000
Br2 0.2250 0.2250 0.7750
Br3 0.2250 0.7750 0.2250
Br4 0.7750 0.7750 0.2250
Br5 0.7750 0.2250 0.2250
In1 0.5000 0.5000 0.5000
K2 0.7500 0.7500 0.7500
Br6 0.7750 0.2250 0.7750

---

First-principles (PBE-GGA) data for crystalline LiAl2InBr8 at its relaxed geometry, as listed in Alexandria via LeMat-Bulk.

Summary:
**Raw formation energy**: -1086.7 meV/atom
**N(E_F)**: 0.000 states/eV/atom
**SG**: P-3m1 (164)
**Raw total energy**: -0.2362 Ry per atom

Lattice parameters (Å, degrees): 7.5486 7.5486 9.0868 90.00 90.00 120.00
Fractional coordinates of all 12 atoms:
Br1 0.6667 0.3333 0.5382
Br2 0.3295 0.1648 0.1998
Br3 0.6705 0.8352 0.8002
In1 0.0000 0.0000 0.5000
Li1 0.0000 0.0000 0.0000
Br4 0.8352 0.1648 0.1998
Al1 0.3333 0.6667 0.7138
Br5 0.8352 0.6705 0.1998
Al2 0.6667 0.3333 0.2862
Br6 0.1648 0.3295 0.8002
Br7 0.3333 0.6667 0.4618
Br8 0.1648 0.8352 0.8002

---

First-principles (PBE-GGA) data for crystalline LiAlInBr5 at its relaxed geometry, as listed in Alexandria via LeMat-Bulk.

Summary:
**Raw formation energy**: -1105.3 meV/atom
**N(E_F)**: 0.000 states/eV/atom
**SG**: C2/c (15)
**Raw total energy**: -0.2352 Ry per atom

Lattice parameters (Å, degrees): 7.9609 7.9609 9.3634 102.67 102.67 103.87
Fractional coordinates of all 16 atoms:
Br1 0.0678 0.9322 0.2500
Br2 0.5992 0.7358 0.9369
Br3 0.6619 0.1004 0.3729
Br4 0.1004 0.6619 0.8729
Br5 0.7358 0.5992 0.4369
In1 0.6922 0.3078 0.7500
Br6 0.4008 0.2642 0.0631
In2 0.3078 0.6922 0.2500
Br7 0.3381 0.8996 0.6271
Br8 0.8996 0.3381 0.1271
Br9 0.2642 0.4008 0.5631
Al1 0.6711 0.3289 0.2500
Li1 0.0000 0.0000 0.5000
Br10 0.9322 0.0678 0.7500
Li2 0.0000 0.0000 0.0000
Al2 0.3289 0.6711 0.7500

---

Among the records above, which one has the highest raw total energy?
K2AlInBr